The following is a DFT calculation (SCAN) of SrTl5 at its PBEsol-relaxed geometry.

abc: 8.963 8.963 8.963
angles: 90.00 90.00 90.00
Space group F-43m (No. 216)
One atom of each set of equivalent atoms:
1 Sr 0.000 0.000 0.000 [4 per cell]
2 Tl 0.125 0.125 0.625 [16 per cell]
3 Tl 0.250 0.250 0.250 [4 per cell]

mass density	10.24	Mg/m³
calculated formation energy	-171	meV per atom
energy above the lowest structure with this stoichiometry	1.73	kcal/mol of atoms

***

The following is a DFT calculation (SCAN) of SnHPt2Se at its PBEsol-relaxed geometry.

abc: 5.021 5.021 3.441
angles: 90.00 90.00 90.00
Space group P4/mmm (No. 123)
One atom of each set of equivalent atoms:
1 Sn 0.000 0.000 0.000 [1 per cell]
2 H 0.000 0.000 0.500 [1 per cell]
3 Pt 0.000 0.500 0.000 [2 per cell]
4 Se 0.500 0.500 0.500 [1 per cell]

mass density	11.27	Mg/m³
E_tot	-39.3488	eV/atom